Entry 1:
# ZrCu PBE optimized geometry
# **Total magnetic moment**: 0.01 μB/f.u.
# **Formation energy**: -0.03 eV/atom
data_ZrCu
_cell_length_a 4.694
_cell_length_b 15.680
_cell_length_c 4.713
_cell_angle_alpha 90.00
_cell_angle_beta 90.00
_cell_angle_gamma 90.00
_symmetry_space_group_name_H-M 'A m m 2'
_symmetry_Int_Tables_number 38
_symmetry_space_group_name_Hall 'A 2 -2'
loop_
_atom_site_label
_atom_site_fract_x
_atom_site_fract_y
_atom_site_fract_z
_atom_site_occupancy
Zr1 0.000 0.000 0.000 1
Zr2 0.000 0.111 0.492 1
Zr3 0.500 0.112 0.980 1
Cu1 0.000 0.211 0.002 1
Cu2 0.500 0.000 0.482 1
Cu3 0.500 0.211 0.470 1

Entry 2:
# BiPbAu4 PBE optimized geometry
# **Electronic total energy**: -3.54 eV per atom
data_BiPbAu4
_cell_length_a 8.103
_cell_length_b 8.103
_cell_length_c 8.103
_cell_angle_alpha 90.00
_cell_angle_beta 90.00
_cell_angle_gamma 90.00
_symmetry_space_group_name_H-M 'F -4 3 m'
_symmetry_Int_Tables_number 216
_symmetry_space_group_name_Hall 'F -4 2 3'
loop_
_atom_site_label
_atom_site_fract_x
_atom_site_fract_y
_atom_site_fract_z
_atom_site_occupancy
Bi1 0.000 0.000 0.000 1
Pb1 0.250 0.250 0.250 1
Au1 0.125 0.125 0.625 1